# 1
Sm11Hg9Ir4 | PBE | optimized geometry

abc: 14.6569 21.9680 3.7774
angles: 90.00 90.00 90.00
Last column: nearest neighbours and their distance in Å.
Space group Cmmm (No. 65)
Unique sites:
Sm1 0.0000 0.0000 0.0000 [2 per cell]  8 Hg 3.20
Sm2 0.0000 0.1664 0.0000 [4 per cell]  8 Hg 3.21-3.42
Sm3 0.0000 0.3717 0.0000 [4 per cell]  4 Ir 2.95
Sm4 0.1966 0.5000 0.0000 [4 per cell]  4 Ir 2.97
Sm5 0.2492 0.1668 0.0000 [8 per cell]  2 Ir 2.83
Hg1 0.0000 0.5000 0.5000 [2 per cell]  4 Ir 3.08, 8 Sm 3.39-3.45
Hg2 0.1078 0.2600 0.5000 [8 per cell]  1 Ir 3.15, 1 Hg 3.16, 8 Sm 3.21-3.48
Hg3 0.1371 0.0739 0.5000 [8 per cell]  1 Ir 3.19, 8 Sm 3.20-3.48, 1 Hg 3.25
Ir1 0.1485 0.4006 0.5000 [8 per cell]  6 Sm 2.83-2.97, 2 Hg 3.08-3.15

Total DFT energy (no corrections)   -4.33 eV/atom

# 2
Sm6Hg2Ir | PBE | optimized geometry

abc: 7.0888 7.5097 12.5640
angles: 90.00 123.11 90.00
Last column: nearest neighbours and their distance in Å.
Space group P2_1/c (No. 14)
Unique sites:
Sm1 0.1291 0.1952 0.4482 [4 per cell]  1 Ir 2.76
Sm2 0.2553 0.6872 0.4451 [4 per cell]  1 Ir 2.77
Sm3 0.3663 0.0130 0.2463 [4 per cell]  1 Ir 2.79, 1 Hg 3.11
Hg1 0.2010 0.0940 0.7442 [4 per cell]  6 Sm 3.11-3.28
Ir1 0.5000 0.0000 0.5000 [2 per cell]  6 Sm 2.76-2.79

Energy relative to the lowest polymorph listed for this composition   0.000 eV per atom

# 3
Sm8HgIr2 | PBE | optimized geometry

abc: 8.7702 13.4810 5.6385
angles: 90.00 104.12 90.00
Last column: nearest neighbours and their distance in Å.
Space group C2/m (No. 12)
Unique sites:
Sm1 0.0000 0.2457 0.0000 [4 per cell]  2 Ir 2.93
Sm2 0.1140 0.5000 0.8036 [4 per cell]  2 Ir 3.17, 1 Hg 3.30, 4 Sm 3.33-3.52
Sm3 0.2017 0.1280 0.5748 [8 per cell]  2 Ir 2.90-2.93
Hg1 0.0000 0.0000 0.0000 [2 per cell]  4 Sm 3.30-3.31
Ir1 0.0000 0.3042 0.5000 [4 per cell]  8 Sm 2.90-3.17

Total DFT energy (no corrections)   -5.41 eV/atom

# 4
Sm5Hg2Ir | PBE | optimized geometry

abc: 5.8436 12.7412 12.8312
angles: 90.00 90.00 90.00
Last column: nearest neighbours and their distance in Å.
Space group Cmcm (No. 63)
Unique sites:
Sm1 0.0000 0.0746 0.1048 [8 per cell]  1 Ir 2.72
Sm2 0.0000 0.3730 0.0720 [8 per cell]  1 Ir 2.92, 2 Hg 3.08
Sm3 0.0000 0.3840 0.7500 [4 per cell]  2 Hg 3.06, 2 Ir 3.27
Hg1 0.0000 0.1781 0.6270 [8 per cell]  5 Sm 3.06-3.25, 1 Hg 3.16
Ir1 0.0000 0.2305 0.2500 [4 per cell]  4 Sm 2.72-2.92

Energy relative to the lowest polymorph listed for this composition   0.265 eV per atom

# 5
Sm5Tl2HgIr2 | PBE | optimized geometry

abc: 12.1084 12.1084 3.7718
angles: 90.00 90.00 90.00
Last column: nearest neighbours and their distance in Å.
Space group P4/mbm (No. 127)
Unique sites:
Sm1 0.0000 0.5000 0.0000 [2 per cell]  4 Ir 2.94
Sm2 0.0786 0.2052 0.0000 [8 per cell]  2 Ir 2.81
Tl1 0.1725 0.6725 0.5000 [4 per cell]  3 Ir 3.36-3.71, 6 Sm 3.50-3.58
Hg1 0.0000 0.0000 0.5000 [2 per cell]  8 Sm 3.26
Ir1 0.1314 0.3686 0.5000 [4 per cell]  6 Sm 2.81-2.94

Total DFT energy (no corrections)   -5.13 eV/atom

# 6
Sm5TlHg2Ir2 | PBE | optimized geometry

abc: 12.0964 12.0964 3.7814
angles: 90.00 90.00 90.00
Last column: nearest neighbours and their distance in Å.
Space group P4/mbm (No. 127)
Unique sites:
Sm1 0.0000 0.5000 0.0000 [2 per cell]  4 Ir 2.90
Sm2 0.0880 0.2041 0.0000 [8 per cell]  2 Ir 2.82
Tl1 0.0000 0.0000 0.5000 [2 per cell]  8 Sm 3.29
Hg1 0.1710 0.6710 0.5000 [4 per cell]  3 Ir 3.44-3.66, 6 Sm 3.48-3.50, 2 Hg 3.78
Ir1 0.1282 0.3718 0.5000 [4 per cell]  6 Sm 2.82-2.90

Total DFT energy (no corrections)   -4.89 eV/atom

# 7
SmTmHgIr | PBE | optimized geometry

abc: 7.1543 7.1543 7.1543
angles: 90.00 90.00 90.00
Last column: nearest neighbours and their distance in Å.
Space group F-43m (No. 216)
Unique sites:
Sm1 0.0000 0.0000 0.0000 [4 per cell]  4 Hg 3.10, 4 Ir 3.10
Tm1 0.0000 0.0000 0.5000 [4 per cell]  4 Hg 3.10, 4 Ir 3.10
Hg1 0.2500 0.2500 0.7500 [4 per cell]  4 Tm 3.10, 4 Sm 3.10
Ir1 0.2500 0.2500 0.2500 [4 per cell]  4 Tm 3.10, 4 Sm 3.10

Total DFT energy (no corrections)   -5.18 eV/atom

# 8
SmZrHgIr | PBE | optimized geometry

abc: 7.0410 7.0410 7.0410
angles: 90.00 90.00 90.00
Last column: nearest neighbours and their distance in Å.
Space group F-43m (No. 216)
Unique sites:
Sm1 0.0000 0.0000 0.0000 [4 per cell]  4 Hg 3.05, 4 Ir 3.05
Zr1 0.0000 0.0000 0.5000 [4 per cell]  4 Hg 3.05, 4 Ir 3.05
Hg1 0.2500 0.2500 0.2500 [4 per cell]  4 Zr 3.05, 4 Sm 3.05
Ir1 0.2500 0.2500 0.7500 [4 per cell]  4 Zr 3.05, 4 Sm 3.05

Total DFT energy (no corrections)   -5.98 eV/atom

# 9
SnHg2Ir | PBE | optimized geometry

abc: 10.4927 10.4927 5.0405
angles: 90.00 90.00 90.00
Last column: nearest neighbours and their distance in Å.
Space group I-42d (No. 122)
Unique sites:
Sn1 0.0000 0.0000 0.0000 [4 per cell]  2 Ir 2.52
Hg1 0.0009 0.2500 0.6250 [8 per cell]  2 Ir 2.70
Ir1 0.0000 0.0000 0.5000 [4 per cell]  2 Sn 2.52, 4 Hg 2.70

Total DFT energy (no corrections)   -3.21 eV/atom

# 10
SnHgIr | PBE | optimized geometry

abc: 5.2172 5.2171 10.6971
angles: 90.00 90.44 90.00
Last column: nearest neighbours and their distance in Å.
Space group C2/m (No. 12)
Unique sites:
Sn1 0.2484 0.0000 0.3997 [4 per cell]  5 Ir 2.68-2.75
Hg1 0.2440 0.0000 0.9114 [4 per cell]  1 Ir 2.72
Ir1 0.2475 0.5000 0.3430 [4 per cell]  5 Sn 2.68-2.75, 1 Hg 2.72

Total DFT energy (no corrections)   -4.30 eV/atom

# 11
Sn2HgIr | PBE | optimized geometry

abc: 8.7981 8.7981 5.3962
angles: 90.00 90.00 90.00
Last column: nearest neighbours and their distance in Å.
Space group I-42d (No. 122)
Unique sites:
Sn1 0.1472 0.7500 0.1250 [8 per cell]  2 Ir 2.64
Hg1 0.0000 0.0000 0.5000 [4 per cell]  2 Ir 2.70
Ir1 0.0000 0.0000 0.0000 [4 per cell]  4 Sn 2.64, 2 Hg 2.70

Total DFT energy (no corrections)   -4.23 eV/atom

# 12
Sn2HgIr | PBE | optimized geometry

abc: 3.7246 3.7246 26.6500
angles: 90.00 90.00 120.00
Last column: nearest neighbours and their distance in Å.
Space group R-3m (No. 166, hexagonal axes)
Unique sites:
Sn1 0.0000 0.0000 0.1069 [6 per cell]  3 Ir 2.68, 1 Hg 2.85
Hg1 0.0000 0.0000 0.0000 [3 per cell]  2 Sn 2.85
Ir1 0.0000 0.0000 0.5000 [3 per cell]  6 Sn 2.68

Total DFT energy (no corrections)   -4.31 eV/atom

# 13
SnHgIr2 | PBE | optimized geometry

abc: 7.3664 7.3664 5.7161
angles: 90.00 90.00 90.00
Last column: nearest neighbours and their distance in Å.
Space group I-42d (No. 122)
Unique sites:
Sn1 0.0000 0.0000 0.0000 [4 per cell]  4 Ir 2.60, 2 Hg 2.86
Hg1 0.0000 0.0000 0.5000 [4 per cell]  4 Ir 2.81, 2 Sn 2.86
Ir1 0.2287 0.2500 0.1250 [8 per cell]  2 Sn 2.60, 2 Hg 2.81, 2 Ir 2.88

Energy relative to the lowest polymorph listed for this composition   0.275 eV per atom

# 14
Sn4HgIr | PBE | optimized geometry

abc: 4.6677 4.6042 7.4391
angles: 90.00 97.08 90.00
Last column: nearest neighbours and their distance in Å.
Space group P2/m (No. 10)
Unique sites:
Sn1 0.0039 0.0000 0.2128 [2 per cell]  2 Ir 2.79, 1 Hg 2.95
Sn2 0.4678 0.5000 0.7860 [2 per cell]  2 Ir 2.78-2.86
Hg1 0.5000 0.0000 0.5000 [1 per cell]  6 Sn 2.95-3.15
Ir1 0.0000 0.5000 0.0000 [1 per cell]  8 Sn 2.78-2.86

Total DFT energy (no corrections)   -4.27 eV/atom

# 15
SnHg3Ir | PBE | optimized geometry

abc: 5.2267 5.2267 5.2267
angles: 90.00 90.00 90.00
Last column: nearest neighbours and their distance in Å.
Space group Pm-3m (No. 221)
Unique sites:
Sn1 0.0000 0.0000 0.0000 [1 per cell]  12 Hg 3.70
Hg1 0.0000 0.5000 0.5000 [3 per cell]  2 Ir 2.61
Ir1 0.5000 0.5000 0.5000 [1 per cell]  6 Hg 2.61

Energy relative to the lowest polymorph listed for this composition   0.000 eV per atom

# 16
SnHgIr2 | PBE | optimized geometry

abc: 6.5410 6.5410 6.5410
angles: 90.00 90.00 90.00
Last column: nearest neighbours and their distance in Å.
Space group Fm-3m (No. 225)
Unique sites:
Sn1 0.0000 0.0000 0.0000 [4 per cell]  8 Ir 2.83
Hg1 0.0000 0.0000 0.5000 [4 per cell]  8 Ir 2.83
Ir1 0.2500 0.2500 0.2500 [8 per cell]  4 Hg 2.83, 4 Sn 2.83

Energy relative to the lowest polymorph listed for this composition   0.000 eV per atom

# 17
SnHg2Ir2 | PBE | optimized geometry

abc: 6.8206 6.8206 4.2414
angles: 90.00 90.00 90.00
Last column: nearest neighbours and their distance in Å.
Space group P4/mbm (No. 127)
Unique sites:
Sn1 0.0000 0.0000 0.0000 [2 per cell]  4 Ir 2.64
Hg1 0.1631 0.3369 0.5000 [4 per cell]  6 Ir 2.86-2.96, 1 Hg 3.15
Ir1 0.1382 0.6382 0.0000 [4 per cell]  2 Sn 2.64, 1 Ir 2.67, 6 Hg 2.86-2.96

Total DFT energy (no corrections)   -4.21 eV/atom

# 18
Sr2Sn4HgIr3 | PBE | optimized geometry

abc: 4.6531 4.6531 11.0713
angles: 90.00 90.00 90.00
Last column: nearest neighbours and their distance in Å.
Space group P-4m2 (No. 115)
Unique sites:
Sr1 0.0000 0.5000 0.2456 [2 per cell]  8 Sn 3.52-3.58, 6 Ir 3.56-3.65, 2 Hg 3.65
Sn1 0.0000 0.0000 0.0000 [1 per cell]  4 Ir 2.69
Sn2 0.0000 0.5000 0.6402 [2 per cell]  3 Ir 2.62-2.80, 2 Hg 2.80
Sn3 0.5000 0.5000 0.0000 [1 per cell]  4 Ir 2.69
Hg1 0.0000 0.0000 0.5000 [1 per cell]  4 Sn 2.80
Ir1 0.0000 0.5000 0.8772 [2 per cell]  5 Sn 2.62-2.69
Ir2 0.5000 0.5000 0.5000 [1 per cell]  4 Sn 2.80

Total DFT energy (no corrections)   -5.00 eV/atom

# 19
Tl2SnHgIr | PBE | optimized geometry

abc: 5.3355 5.3355 5.1411
angles: 90.00 90.00 90.00
Last column: nearest neighbours and their distance in Å.
Space group P4/mmm (No. 123)
Unique sites:
Tl1 0.0000 0.5000 0.0000 [2 per cell]  2 Ir 2.67
Sn1 0.0000 0.0000 0.5000 [1 per cell]  2 Ir 2.57
Hg1 0.5000 0.5000 0.5000 [1 per cell]  8 Tl 3.70, 4 Sn 3.77
Ir1 0.0000 0.0000 0.0000 [1 per cell]  2 Sn 2.57, 4 Tl 2.67

Total DFT energy (no corrections)   -3.51 eV/atom

# 20
VSnHgIr2 | PBE | optimized geometry

abc: 4.9771 4.9771 5.0942
angles: 90.00 90.00 90.00
Last column: nearest neighbours and their distance in Å.
Space group P4/mmm (No. 123)
Unique sites:
V1 0.0000 0.0000 0.0000 [1 per cell]  4 Sn 3.52, 8 Ir 3.56
Sn1 0.5000 0.5000 0.0000 [1 per cell]  2 Hg 2.55
Hg1 0.5000 0.5000 0.5000 [1 per cell]  4 Ir 2.49, 2 Sn 2.55
Ir1 0.0000 0.5000 0.5000 [2 per cell]  2 Hg 2.49

Total DFT energy (no corrections)   -4.07 eV/atom